The following is a GGA-PBE calculation of TlTc2Pb after structural relaxation, from Alexandria via LeMat-Bulk.

```
data_TlTc2Pb
_space_group_name_H-M_alt 'P 1'
_space_group_IT_number 1
_cell_length_a 5.284
_cell_length_b 5.284
_cell_length_c 6.216
_cell_angle_alpha 118.86
_cell_angle_beta 118.86
_cell_angle_gamma 35.37
loop_
_space_group_symop_operation_xyz
'x,y,z'
loop_
_atom_site_label
_atom_site_type_symbol
_atom_site_fract_x
_atom_site_fract_y
_atom_site_fract_z
_atom_site_occupancy
Tl1 Tl 0.000 0.000 0.000 1
Tc1 Tc 0.393 0.393 0.458 1
Tc2 Tc 0.770 0.770 0.131 1
Pb1 Pb 0.173 0.173 0.621 1
```

Values from the calculation:
Total energy   -6.07 eV/atom
Spin magnetization   0.0 Bohr magnetons per cell
D(E_F)   2.18 states/eV/cell
Energy above the lowest structure with this stoichiometry   313 meV/atom
Energy of formation   633 meV per atom